No. 1
The following is a PBE calculation of a relaxed structure of LiCeIn3, from Alexandria.

a b c (Å): 24.632 4.367 4.732
angles (deg): 90.00 101.08 90.00
Space group C2/m (No. 12)
Inequivalent atoms, fractional coordinates:
Li1 0.140 0.000 0.391 [4 per cell]
Ce1 0.084 0.500 0.834 [4 per cell]
In1 0.033 0.000 0.283 [4 per cell]
In2 0.199 0.000 0.950 [4 per cell]
In3 0.203 0.500 0.454 [4 per cell]

Values from the calculation:
Energy above the most stable polymorph in this dataset, eV per formula unit: 0.00
E_form, eV/atom: -0.21
Theoretical density, g cm⁻³: 6.5
E_tot, eV/atom: -3.4264

No. 2
The following is a PBE calculation of a relaxed structure of Y4AsIr, from Alexandria.

a b c (Å): 8.429 8.429 8.429
angles (deg): 90.00 90.00 90.00
Space group F-43m (No. 216)
Inequivalent atoms, fractional coordinates:
Y1 0.124 0.124 0.376 [16 per cell]
As1 0.000 0.000 0.000 [4 per cell]
Ir1 0.250 0.250 0.750 [4 per cell]

Values from the calculation:
E_form, eV/atom: 0.51
Theoretical density, g cm⁻³: 6.9
E_tot, eV/atom: -6.0508

No. 3
The following is a PBE calculation of a relaxed structure of Ir4Br5, from Alexandria.

a b c (Å): 14.065 14.065 2.597
angles (deg): 90.00 90.00 90.00
Space group I4/mmm (No. 139)
Inequivalent atoms, fractional coordinates:
Ir1 0.000 0.387 0.000 [8 per cell]
Br1 0.000 0.000 0.000 [2 per cell]
Br2 0.167 0.167 0.500 [8 per cell]

Values from the calculation:
Energy above the most stable polymorph in this dataset, eV per formula unit: 0.00
Uncorrected formation energy, eV/atom: 0.920
Theoretical density, g cm⁻³: 7.6
E_tot, eV/atom: -3.9476

- Which value of theoretical density does entry 2 give?
  6.9 g cm⁻³